AcCe3 | the Alexandria database | PBE | optimized geometry; raw total energy = -5.273 eV/atom; theoretical density = 8.46 g cm⁻³; crystal system = orthorhombic; total moment = 0.0 μB/cell
1.0
3.814 0.000 0.000
0.000 5.559 0.000
0.000 0.000 5.993
Ac Ce
1 3
direct
0.000 0.000 0.000
0.000 0.500 0.580
0.500 0.000 0.513
0.500 0.500 0.251

***

Ce2ZnIr3 | the Alexandria database | PBE | optimized geometry; raw total energy = -7.325 eV/atom; theoretical density = 13.95 g cm⁻³; crystal system = trigonal; total moment = 0.4 μB/cell
1.0
2.798 1.615 4.049
-2.798 1.615 4.049
0.000 -3.231 4.049
Ce Zn Ir
2 1 3
direct
0.124 0.124 0.124
0.876 0.876 0.876
0.500 0.500 0.500
0.000 0.500 0.500
0.500 0.000 0.500
0.500 0.500 0.000

***

LaEuLu2 | the Alexandria database | PBE | optimized geometry; raw total energy = -5.930 eV/atom; theoretical density = 7.87 g cm⁻³; crystal system = cubic; total moment = 7.0 μB/cell
1.0
0.000 4.075 4.075
4.075 0.000 4.075
4.075 4.075 0.000
La Eu Lu
1 1 2
direct
0.000 0.000 0.000
0.500 0.500 0.500
0.250 0.250 0.250
0.750 0.750 0.750

***

| no. | density of states at the Fermi level (states/eV/f.u.) |
| --- | --- |
| 1 | 11.33 |
| 2 | 7.10 |
| 3 | 6.10 |